1.
Computed, not measured: a geometry-optimized MnAlSe2N structure at the GGA-PBEsol level of DFT.

Computed properties:
offset from the most stable computed form: 287.9 meV per atom
DFT total energy: -28.438 eV/cell
N(E_F): 3.36 states/eV/f.u.
formation energy from raw total energies: 0.328 eV per atom

Unit cell a=4.9988 b=4.9988 c=3.5453 alpha=90.00 beta=90.00 gamma=90.00
Space group P4/mmm (No. 123)
Inequivalent atoms, fractional coordinates:
1 Mn 0.0000 0.0000 0.0000
2 Al 0.5000 0.5000 0.5000
3 Se 0.0000 0.5000 0.5000
4 N 0.5000 0.5000 0.0000

---

2.
Computed, not measured: a geometry-optimized GdIn5Rh structure at the GGA-PBEsol level of DFT.

Computed properties:
DFT total energy: -40.864 eV/cell
DFT formation energy: -0.48 eV/atom
N(E_F): 2.44 states/eV/f.u.

Unit cell a=4.5861 b=4.5861 c=7.3884 alpha=90.00 beta=90.00 gamma=90.00
Space group P4/mmm (No. 123)
Inequivalent atoms, fractional coordinates:
1 Gd 0.0000 0.0000 0.0000
2 In 0.0000 0.5000 0.3007
3 In 0.5000 0.5000 0.0000
4 Rh 0.0000 0.0000 0.5000

---

3.
Computed, not measured: a geometry-optimized NaPt2C structure at the GGA-PBEsol level of DFT.

Computed properties:
offset from the most stable computed form: 1048.8 meV per atom
DFT total energy: -77.698 eV/cell
DFT formation energy: 1.39 eV/atom
N(E_F): 5.06 states/eV/f.u.

Unit cell a=5.9390 b=5.9390 c=5.9390 alpha=90.00 beta=90.00 gamma=90.00
Space group Fm-3m (No. 225)
Inequivalent atoms, fractional coordinates:
1 Na 0.0000 0.0000 0.0000
2 Pt 0.2500 0.2500 0.2500
3 C 0.0000 0.0000 0.5000

---

4.
Computed, not measured: a geometry-optimized Mg4TeRh structure at the GGA-PBEsol level of DFT.

Computed properties:
DFT total energy: -70.366 eV/cell
N(E_F): 4.65 states/eV/f.u.
formation energy from raw total energies: 0.157 eV per atom

Unit cell a=7.8327 b=7.8327 c=7.8327 alpha=90.00 beta=90.00 gamma=90.00
Space group F-43m (No. 216)
Inequivalent atoms, fractional coordinates:
1 Mg 0.1241 0.1241 0.1241
2 Te 0.0000 0.0000 0.5000
3 Rh 0.2500 0.2500 0.7500

---

5.
Computed, not measured: a geometry-optimized ThTl structure at the GGA-PBEsol level of DFT.

Computed properties:
DFT total energy: -133.991 eV/cell
DFT formation energy: -0.21 eV/atom
N(E_F): 2.11 states/eV/f.u.

Unit cell a=10.7870 b=9.8373 c=6.4547 alpha=90.00 beta=90.00 gamma=90.00
Space group Pbcm (No. 57)
Inequivalent atoms, fractional coordinates:
1 Th 0.1119 0.2500 0.0000
2 Th 0.1818 0.6278 0.2500
3 Th 0.3840 0.0378 0.2500
4 Tl 0.0935 0.5523 0.7500
5 Tl 0.3549 0.1263 0.7500
6 Tl 0.4193 0.7500 0.0000

---

6.
Computed, not measured: a geometry-optimized Y2Tl2In structure at the GGA-PBEsol level of DFT.

Computed properties:
DFT total energy: -47.919 eV/cell
DFT formation energy: -0.41 eV/atom
N(E_F): 2.62 states/eV/f.u.

Unit cell a=7.6072 b=7.6072 c=4.5107 alpha=90.00 beta=90.00 gamma=90.00
Space group P4/mbm (No. 127)
Inequivalent atoms, fractional coordinates:
1 Y 0.1696 0.3304 0.0000
2 Tl 0.1348 0.6348 0.5000
3 In 0.0000 0.0000 0.5000

---

7.
Computed, not measured: a geometry-optimized GeSb2Te4 structure at the GGA-PBEsol level of DFT.

Computed properties:
DFT total energy: -86.903 eV/cell
N(E_F): 0.03 states/eV/f.u.
formation energy from raw total energies: -0.116 eV per atom

Unit cell a=4.2454 b=4.2454 c=40.1282 alpha=90.00 beta=90.00 gamma=120.00
Space group R-3m (No. 166, hexagonal axes)
Inequivalent atoms, fractional coordinates:
1 Ge 0.0000 0.0000 0.0000
2 Sb 0.0000 0.0000 0.4241
3 Te 0.0000 0.0000 0.1335
4 Te 0.0000 0.0000 0.2920

---

8.
Computed, not measured: a geometry-optimized MgTlCd2Cu structure at the GGA-PBEsol level of DFT.

Computed properties:
DFT total energy: -10.313 eV/cell
DFT formation energy: 0.15 eV/atom
N(E_F): 2.09 states/eV/f.u.

Unit cell a=4.9299 b=4.9299 c=4.9107 alpha=90.00 beta=90.00 gamma=90.00
Space group P4/mmm (No. 123)
Inequivalent atoms, fractional coordinates:
1 Mg 0.0000 0.0000 0.0000
2 Tl 0.5000 0.5000 0.0000
3 Cd 0.0000 0.5000 0.5000
4 Cu 0.0000 0.0000 0.5000

---

9.
Computed, not measured: a geometry-optimized SrCaBP2 structure at the GGA-PBEsol level of DFT.

Computed properties:
DFT total energy: -13.584 eV/cell
DFT formation energy: 1.80 eV/atom
N(E_F): 4.15 states/eV/f.u.

Unit cell a=5.2819 b=5.2819 c=6.0213 alpha=90.00 beta=90.00 gamma=90.00
Space group P4/mmm (No. 123)
Inequivalent atoms, fractional coordinates:
1 Sr 0.0000 0.0000 0.0000
2 Ca 0.0000 0.0000 0.5000
3 B 0.5000 0.5000 0.5000
4 P 0.0000 0.5000 0.0000

---

10.
Computed, not measured: a geometry-optimized TiRe3Tc structure at the GGA-PBEsol level of DFT.

Computed properties:
DFT total energy: -50.234 eV/cell
DFT formation energy: 1.87 eV/atom
N(E_F): 3.97 states/eV/f.u.

Unit cell a=4.5677 b=4.5677 c=4.5677 alpha=90.00 beta=90.00 gamma=90.00
Space group Pm-3m (No. 221)
Inequivalent atoms, fractional coordinates:
1 Ti 0.0000 0.0000 0.0000
2 Re 0.0000 0.5000 0.5000
3 Tc 0.5000 0.5000 0.5000

---

11.
Computed, not measured: a geometry-optimized CdAg2Rh structure at the GGA-PBEsol level of DFT.

Computed properties:
DFT total energy: -31.590 eV/cell
DFT formation energy: 0.04 eV/atom
N(E_F): 1.76 states/eV/f.u.

Unit cell a=4.1695 b=4.1695 c=7.4541 alpha=90.00 beta=90.00 gamma=90.00
Space group I-4m2 (No. 119)
Inequivalent atoms, fractional coordinates:
1 Cd 0.0000 0.0000 0.0000
2 Ag 0.0000 0.0000 0.5000
3 Ag 0.0000 0.5000 0.2500
4 Rh 0.0000 0.5000 0.7500

---

12.
Computed, not measured: a geometry-optimized MnIn2Fe structure at the GGA-PBEsol level of DFT.

Computed properties:
DFT total energy: -23.529 eV/cell
DFT formation energy: 0.29 eV/atom
N(E_F): 2.84 states/eV/f.u.

Unit cell a=2.8908 b=3.8258 c=5.8161 alpha=90.00 beta=90.00 gamma=90.00
Space group Pmmm (No. 47)
Inequivalent atoms, fractional coordinates:
1 Mn 0.0000 0.0000 0.0000
2 In 0.5000 0.5000 0.2537
3 Fe 0.0000 0.0000 0.5000

---

13.
Computed, not measured: a geometry-optimized Al2FeMo structure at the GGA-PBEsol level of DFT.

Computed properties:
offset from the most stable computed form: 92.7 meV per atom
DFT total energy: -58.833 eV/cell
DFT formation energy: -0.13 eV/atom
N(E_F): 3.76 states/eV/f.u.

Unit cell a=2.9165 b=4.2337 c=8.7247 alpha=90.00 beta=90.00 gamma=90.00
Space group Imm2 (No. 44)
Inequivalent atoms, fractional coordinates:
1 Al 0.0000 0.0000 0.0000
2 Al 0.0000 0.5000 0.2196
3 Fe 0.0000 0.5000 0.7271
4 Mo 0.0000 0.0000 0.4558